Record 1
6
Lattice="-3.801 1.363 1.000 -3.110 -2.712 0.528 -0.488 -1.032 8.208" Properties=species:S:1:pos:R:3 comment="PBE-GGA EuGaH, relaxed" spacegroup="R-3m (166)" relative_energy_ev_per_atom=0.0000 total_magnetization_mub_per_cell=14.31 pbc="T T T"
Eu -4.248 -1.014 2.539
Eu -3.150 -1.366 7.197
H -5.283 -1.870 8.427
H -2.115 -0.510 1.308
Ga -1.367 -0.750 4.479
Ga -6.031 -1.630 5.257

Record 2
6
Lattice="-3.695 3.193 0.395 -2.673 -2.711 -3.091 -0.627 -5.614 9.379" Properties=species:S:1:pos:R:3 comment="PBE-GGA K3Au2I, relaxed" spacegroup="C2/m (12)" energy_ev_per_atom=-2.558 total_magnetization_mub_per_cell=0.00 pbc="T T T"
Au -5.227 -2.664 2.988
Au -0.781 -1.123 1.677
K -6.501 -4.463 5.672
K -2.019 -2.872 4.287
K -3.988 -0.914 0.378
I -3.317 -4.703 7.020

Record 3
6
Lattice="-3.266 3.572 1.169 -0.842 -2.959 -3.916 -3.028 -3.960 3.644" Properties=species:S:1:pos:R:3 comment="PBE-GGA Ho3Ag2Ru, relaxed" spacegroup="P-3m1 (164)" e_form_mev_per_atom=-347.9 relative_energy_ev_per_atom=0.0367 total_magnetization_mub_per_cell=0.00 pbc="T T T"
Ho -5.041 -1.983 2.582
Ho -1.514 -1.980 1.822
Ho -2.095 -1.364 -1.685
Ag -3.499 0.034 0.726
Ag -3.637 -3.381 0.170
Ru 0.000 0.000 0.000

Record 4
6
Lattice="-1.812 -3.511 -3.866 5.906 -3.227 0.113 -0.805 -1.310 4.549" Properties=species:S:1:pos:R:3 comment="PBE-GGA CaBiAu, relaxed" spacegroup="C2/m (12)" e_form_mev_per_atom=-601.3 total_magnetization_mub_per_cell=0.00 pbc="T T T"
Au -0.807 -4.722 -2.034
Au 2.898 -4.801 1.132
Bi 2.352 -2.351 -0.792
Bi 5.306 -3.963 -0.735
Ca 2.462 -5.732 -1.747
Ca -0.374 -3.790 0.846

Record 5
13
Lattice="-2.163 2.677 -4.695 1.638 -3.696 -6.471 -6.947 -2.547 -1.861" Properties=species:S:1:pos:R:3 comment="PBE-GGA NaLi6Tl6, relaxed" spacegroup="Immm (71)" e_form_mev_per_atom=-180.0 relative_energy_ev_per_atom=0.0000 total_magnetization_mub_per_cell=0.00 pbc="T T T"
Tl -1.274 -3.306 -4.907
Tl -1.651 -0.275 -3.006
Tl -3.240 -0.377 -5.941
Tl -4.232 -3.188 -7.087
Tl -4.035 -2.937 -3.425
Tl -5.821 -3.291 -10.022
Li -4.555 0.065 -3.278
Li 0.819 -1.848 -3.236
Li -3.474 -1.274 -0.931
Li -5.998 -1.480 -5.300
Li -0.262 -0.509 -5.583
Li -1.474 -2.085 -7.729
Na 0.000 0.000 0.000

Record 6
14
Lattice="-4.566 4.650 2.332 -4.704 -2.491 -4.243 -0.875 -7.198 5.195" Properties=species:S:1:pos:R:3 comment="PBE-GGA KSrAsS4, relaxed" spacegroup="P2_1/m (11)" energy_ev_per_atom=-4.432 total_magnetization_mub_per_cell=0.00 pbc="T T T"
Sr -7.408 -1.533 0.923
Sr -2.737 -3.505 2.361
K -7.736 -5.178 3.426
K -2.409 0.139 -0.142
S -5.774 -4.102 0.618
S -2.613 -3.127 -0.696
S -5.529 -1.107 -1.411
S -9.857 -3.143 1.882
S -7.532 -1.911 3.980
S -0.288 -1.896 1.401
S -4.616 -3.931 4.695
S -4.371 -0.937 2.666
As -5.372 -1.916 4.350
As -4.773 -3.122 -1.066

Record 7
10
Lattice="-3.509 -0.966 -2.459 1.464 -4.114 -0.473 -5.314 -2.892 8.718" Properties=species:S:1:pos:R:3 comment="PBE-GGA Ac2Ga4Pt3Rh, relaxed" spacegroup="P-4m2 (115)" e_form_mev_per_atom=-946.7 total_magnetization_mub_per_cell=0.00 pbc="T T T"
Ga -1.023 -2.540 -1.466
Ga -1.272 -3.147 3.051
Ga -5.065 -2.284 4.202
Ga 0.000 0.000 0.000
Pt -6.369 -2.994 6.342
Pt 0.033 -2.438 0.911
Pt -2.657 -1.446 4.359
Ac -3.082 -1.205 0.948
Ac -3.255 -4.227 6.305
Rh -3.680 -3.986 2.893

Record 8
24
Lattice="3.688 0.000 0.000 0.000 12.095 -5.104 0.000 0.060 13.127" Properties=species:S:1:pos:R:3 comment="PBE-GGA Dy11Tl9Ni4, relaxed" spacegroup="Cmmm (65)" e_form_mev_per_atom=-405.3 total_magnetization_mub_per_cell=0.00 pbc="T T T"
Tl 1.844 10.265 0.531
Tl 1.844 11.261 5.527
Tl 1.844 1.890 7.493
Tl 1.844 9.508 8.183
Tl 1.844 7.633 -1.206
Tl 1.844 4.522 9.230
Tl 1.844 0.893 2.497
Tl 1.844 2.647 -0.160
Tl 1.844 6.077 4.012
Dy 0.000 2.005 10.180
Dy 0.000 11.099 2.969
Dy 0.000 3.800 2.508
Dy 0.000 5.063 -1.016
Dy 0.000 4.570 6.295
Dy 0.000 1.055 5.055
Dy 0.000 7.092 9.040
Dy 0.000 8.355 5.515
Dy 0.000 10.149 -2.157
Dy 0.000 0.000 0.000
Dy 0.000 7.585 1.729
Ni 1.844 5.457 0.983
Ni 1.844 3.049 4.632
Ni 1.844 9.106 3.392
Ni 1.844 6.698 7.041

Record 9
10
Lattice="-3.317 -3.109 3.607 4.034 -4.170 0.116 2.987 -0.965 6.584" Properties=species:S:1:pos:R:3 comment="PBE-GGA Rb2TaTcF6, relaxed" spacegroup="I4/mmm (139)" energy_ev_per_atom=-5.514 total_magnetization_mub_per_cell=0.00 pbc="T T T"
Rb 0.014 -3.857 6.026
Rb 3.690 -4.387 4.280
F 0.544 -5.515 2.821
F 0.174 -1.763 0.902
F -1.536 -3.366 2.761
F 1.602 -6.378 5.312
F 2.253 -3.913 0.962
F 2.102 -1.865 4.994
Tc 0.359 -3.639 1.861
Ta 0.000 0.000 0.000

Record 10
16
Lattice="-3.711 2.126 -5.412 -1.531 -6.610 -1.547 -1.378 2.444 6.302" Properties=species:S:1:pos:R:3 comment="PBE-GGA Na4Pa3WN8, relaxed" spacegroup="R-3m (166)" energy_ev_per_atom=-8.048 total_magnetization_mub_per_cell=0.82 pbc="T T T"
N -4.165 0.960 -1.163
N -1.458 -1.472 -1.636
N -5.163 -0.568 0.979
N -4.402 -1.887 -2.119
N -3.189 -1.699 3.858
N -2.219 -0.153 1.461
N -2.456 -3.000 0.505
N -3.432 -0.340 -4.515
W -0.766 -3.305 -0.774
Pa -2.621 -2.242 -3.480
Pa -3.310 -1.020 -0.329
Pa -1.455 -2.083 2.377
Na -1.856 1.063 -2.706
Na 0.000 0.000 0.000
Na -2.545 2.285 0.445
Na -0.689 1.222 3.151

Record 11
4
Lattice="-2.763 2.518 5.058 -5.697 -1.617 2.117 5.889 -1.637 -1.483" Properties=species:S:1:pos:R:3 comment="PBE-GGA InTc2Cl, relaxed" spacegroup="Imm2 (44)" relative_energy_ev_per_atom=0.5591 total_magnetization_mub_per_cell=0.61 pbc="T T T"
Tc -0.803 0.086 0.681
Tc -1.944 -1.409 2.047
Cl -3.745 0.399 3.176
In -0.309 0.640 3.375

Record 12
10
Lattice="4.509 0.000 0.000 0.000 4.509 0.000 0.000 0.000 10.767" Properties=species:S:1:pos:R:3 comment="PBE-GGA Pr2Cu3Sn4Pd, relaxed" spacegroup="P-4m2 (115)" e_form_mev_per_atom=-508.1 total_magnetization_mub_per_cell=0.00 pbc="T T T"
Sn 2.255 2.255 0.000
Sn 0.000 2.255 3.980
Sn 2.255 0.000 6.787
Sn 0.000 0.000 0.000
Cu 0.000 2.255 1.439
Cu 2.255 0.000 9.329
Cu 0.000 0.000 5.384
Pr 0.000 2.255 7.998
Pr 2.255 0.000 2.769
Pd 2.255 2.255 5.384